First-principles (PBE) data for La5Si2Ag after structural relaxation, as listed in the Alexandria database.

Cell and atoms, written as extended XYZ:
```
16
Lattice="-6.404 4.415 1.120 -3.387 -3.325 -6.263 1.939 -5.970 7.051" Properties=species:S:1:pos:R:3 pbc="T T T"
La -4.354 -4.217 1.391
La -7.944 -1.276 -3.159
La 0.000 0.000 0.000
La -4.896 0.545 -2.572
La 0.091 -3.604 5.067
La -3.618 -1.894 4.690
La -0.645 -5.927 1.768
La -4.235 -2.986 -2.783
La -7.207 1.047 0.140
La -3.499 -0.663 0.517
Si -2.035 -0.786 -2.296
Si -4.311 2.331 -0.022
Si -5.481 -1.241 -5.121
Si -7.756 1.876 -2.848
Ag -6.374 -2.167 -0.332
Ag -1.479 -2.713 2.240
```

Results
ΔE_f (raw)   -0.46 eV/atom
Size of the total moment   0.00 μB/f.u.
Final energy   -42.012 eV per formula unit
V   29.46 Å³/atom